Record 1
The following is a DFT calculation (PBE) of a relaxed structure of Zr4Fe2N.

Lattice parameters (Å, degrees): 8.632 8.632 8.632 60.00 60.00 60.00
Sites, in units of the cell vectors:
Zr1 0.000 0.000 0.000
Zr2 0.000 0.000 0.500
Zr3 0.000 0.500 0.000
Zr4 0.189 0.189 0.561
Zr5 0.189 0.561 0.189
Zr6 0.189 0.561 0.561
Zr7 0.439 0.439 0.811
Zr8 0.439 0.811 0.439
Zr9 0.439 0.811 0.811
Zr10 0.500 0.000 0.000
Zr11 0.561 0.189 0.189
Zr12 0.561 0.189 0.561
Zr13 0.561 0.561 0.189
Zr14 0.811 0.439 0.439
Zr15 0.811 0.439 0.811
Zr16 0.811 0.811 0.439
Fe1 0.123 0.792 0.792
Fe2 0.208 0.208 0.208
Fe3 0.208 0.208 0.877
Fe4 0.208 0.877 0.208
Fe5 0.792 0.123 0.792
Fe6 0.792 0.792 0.123
Fe7 0.792 0.792 0.792
Fe8 0.877 0.208 0.208
N1 0.000 0.500 0.500
N2 0.500 0.000 0.500
N3 0.500 0.500 0.000
N4 0.500 0.500 0.500

Results
raw formation energy = -619 meV/atom

Record 2
The following is a DFT calculation (PBE) of a relaxed structure of YMoSe.

Lattice parameters (Å, degrees): 4.828 4.828 4.828 60.00 60.00 60.00
Sites, in units of the cell vectors:
Y1 0.000 0.000 0.000
Mo1 0.750 0.750 0.750
Se1 0.250 0.250 0.250

Results
offset from the most stable computed form = 1.070 eV/atom
raw formation energy = 769 meV/atom

Record 3
The following is a DFT calculation (PBE) of a relaxed structure of In2GePb2.

Lattice parameters (Å, degrees): 7.407 7.407 5.235 90.00 90.00 90.00
Sites, in units of the cell vectors:
In1 0.142 0.358 0.000
In2 0.358 0.858 0.000
In3 0.642 0.142 0.000
In4 0.858 0.642 0.000
Ge1 0.000 0.000 0.000
Ge2 0.500 0.500 0.000
Pb1 0.176 0.676 0.500
Pb2 0.324 0.176 0.500
Pb3 0.676 0.824 0.500
Pb4 0.824 0.324 0.500

Results
offset from the most stable computed form = 0.000 eV/atom
formation energy = 159 meV per atom

Record 4
The following is a DFT calculation (PBE) of a relaxed structure of LiMnBiRh.

Lattice parameters (Å, degrees): 4.562 4.562 4.562 60.00 60.00 60.00
Sites, in units of the cell vectors:
Li1 0.000 0.000 0.000
Mn1 0.250 0.250 0.250
Bi1 0.750 0.750 0.750
Rh1 0.500 0.500 0.500

Results
formation energy = -175 meV per atom

Record 5
The following is a DFT calculation (PBE) of a relaxed structure of Cs2NaMoS4.

Lattice parameters (Å, degrees): 14.468 13.015 7.782 84.15 63.49 32.35
Sites, in units of the cell vectors:
Cs1 0.054 0.054 0.696
Cs2 0.304 0.304 0.946
Cs3 0.696 0.696 0.054
Cs4 0.946 0.946 0.304
Na1 0.125 0.125 0.125
Na2 0.875 0.875 0.875
Mo1 0.375 0.375 0.375
Mo2 0.625 0.625 0.625
S1 0.031 0.616 0.530
S2 0.323 0.530 0.616
S3 0.384 0.969 0.677
S4 0.470 0.677 0.969
S5 0.530 0.323 0.031
S6 0.616 0.031 0.323
S7 0.677 0.470 0.384
S8 0.969 0.384 0.470

Results
raw formation energy = -927 meV/atom

Record 6
The following is a DFT calculation (PBE) of a relaxed structure of NaPmInHg.

Lattice parameters (Å, degrees): 5.306 5.306 5.306 60.00 60.00 60.00
Sites, in units of the cell vectors:
Na1 0.000 0.000 0.000
Pm1 0.500 0.500 0.500
In1 0.750 0.750 0.750
Hg1 0.250 0.250 0.250

Results
formation energy = -335 meV per atom

Record 7
The following is a DFT calculation (PBE) of a relaxed structure of NdHg5Pb2.

Lattice parameters (Å, degrees): 9.818 9.818 9.818 151.46 151.46 40.81
Sites, in units of the cell vectors:
Nd1 0.000 0.000 0.000
Hg1 0.120 0.620 0.500
Hg2 0.380 0.880 0.500
Hg3 0.500 0.500 0.000
Hg4 0.620 0.120 0.500
Hg5 0.880 0.380 0.500
Pb1 0.243 0.243 0.000
Pb2 0.757 0.757 0.000

Results
formation energy = -208 meV per atom

Record 8
The following is a DFT calculation (PBE) of a relaxed structure of Ca2AlPtO6.

Lattice parameters (Å, degrees): 5.370 5.471 9.317 90.00 125.15 90.00
Sites, in units of the cell vectors:
Ca1 0.239 0.049 0.250
Ca2 0.239 0.451 0.750
Ca3 0.761 0.549 0.250
Ca4 0.761 0.951 0.750
Al1 0.500 0.000 0.000
Al2 0.500 0.500 0.500
Pt1 0.000 0.000 0.500
Pt2 0.000 0.500 0.000
O1 0.166 0.199 0.957
O2 0.166 0.301 0.457
O3 0.258 0.712 0.955
O4 0.258 0.788 0.455
O5 0.342 0.021 0.757
O6 0.342 0.479 0.257
O7 0.658 0.521 0.743
O8 0.658 0.979 0.243
O9 0.742 0.212 0.545
O10 0.742 0.288 0.045
O11 0.834 0.699 0.543
O12 0.834 0.801 0.043

Results
raw formation energy = -2126 meV/atom

Record 9
The following is a DFT calculation (PBE) of a relaxed structure of Rb2Ge2Bi.

Lattice parameters (Å, degrees): 7.847 7.847 7.847 142.26 142.26 54.44
Sites, in units of the cell vectors:
Rb1 0.250 0.750 0.500
Rb2 0.750 0.250 0.500
Ge1 0.081 0.081 0.000
Ge2 0.919 0.919 0.000
Bi1 0.500 0.500 0.000

Results
offset from the most stable computed form = 0.270 eV/atom
formation energy = 189 meV per atom

Record 10
The following is a DFT calculation (PBE) of a relaxed structure of Hg3GeSe.

Lattice parameters (Å, degrees): 5.252 5.252 5.252 90.00 90.00 90.00
Sites, in units of the cell vectors:
Hg1 0.000 0.000 0.500
Hg2 0.000 0.500 0.000
Hg3 0.500 0.000 0.000
Ge1 0.000 0.000 0.000
Se1 0.500 0.500 0.500

Results
offset from the most stable computed form = 0.000 eV/atom
raw formation energy = 320 meV/atom

Record 11
The following is a DFT calculation (PBE) of a relaxed structure of LaTbH8Rh2.

Lattice parameters (Å, degrees): 6.685 6.685 6.685 43.24 43.24 43.24
Sites, in units of the cell vectors:
La1 0.000 0.000 0.000
Tb1 0.500 0.500 0.500
H1 0.052 0.393 0.882
H2 0.118 0.948 0.607
H3 0.318 0.318 0.318
H4 0.393 0.882 0.052
H5 0.607 0.118 0.948
H6 0.682 0.682 0.682
H7 0.882 0.052 0.393
H8 0.948 0.607 0.118
Rh1 0.229 0.229 0.229
Rh2 0.771 0.771 0.771

Number 1: Fermi-level density of states 0.754 states/eV per atom, magnetic moment 1.30 μB per formula unit, energy -0.3348 hartree per atom. Number 2: Fermi-level density of states 1.546 states/eV per atom, magnetic moment 3.60 μB per formula unit, energy -0.2263 hartree per atom. Number 3: Fermi-level density of states 0.221 states/eV per atom, magnetic moment 0.00 μB per formula unit, energy -0.1229 hartree per atom. Number 4: Fermi-level density of states 0.392 states/eV per atom, magnetic moment 4.09 μB per formula unit, energy -0.2114 hartree per atom. Number 5: Fermi-level density of states 0.521 states/eV per atom, magnetic moment 1.02 μB per formula unit, energy -0.1736 hartree per atom. Number 6: Fermi-level density of states 0.602 states/eV per atom, magnetic moment 0.00 μB per formula unit, energy -0.0960 hartree per atom. Number 7: Fermi-level density of states 0.389 states/eV per atom, magnetic moment 0.00 μB per formula unit, energy -0.0706 hartree per atom. Number 8: Fermi-level density of states 0.656 states/eV per atom, magnetic moment 0.00 μB per formula unit, energy -0.2381 hartree per atom. Number 9: Fermi-level density of states 0.504 states/eV per atom, magnetic moment 0.00 μB per formula unit, energy -0.1037 hartree per atom. Number 10: Fermi-level density of states 1.230 states/eV per atom, magnetic moment 0.39 μB per formula unit, energy -0.0544 hartree per atom. Number 11: Fermi-level density of states 0.211 states/eV per atom, magnetic moment 0.00 μB per formula unit, energy -0.1684 hartree per atom.